The following is a PBE-GGA calculation of an optimized crystal structure of Zn5P6H22N2O22, from the Open Quantum Materials Database.

a = 6.999 Å, b = 9.691 Å, c = 10.021 Å
α = 63.89°, β = 85.99°, γ = 71.35°
Atoms (fractional coordinates):
H  0.037  0.653  0.049
H  0.733  0.087  0.079
H  0.760  0.903  0.088
H  0.920  0.927  0.194
H  0.669  0.948  0.231
H  0.076  0.170  0.238
H  0.625  0.211  0.268
H  0.283  0.302  0.348
H  0.968  0.476  0.405
H  0.730  0.197  0.406
H  0.688  0.721  0.488
H  0.312  0.279  0.512
H  0.270  0.803  0.594
H  0.032  0.524  0.595
H  0.717  0.698  0.652
H  0.375  0.789  0.732
H  0.924  0.830  0.762
H  0.331  0.052  0.769
H  0.080  0.073  0.806
H  0.240  0.097  0.912
H  0.267  0.913  0.921
H  0.963  0.347  0.951
N  0.772  0.963  0.150
N  0.228  0.037  0.850
O  0.348  0.699  0.020
O  0.283  0.164  0.039
O  0.320  0.410  0.151
O  0.809  0.480  0.201
O  0.167  0.929  0.205
O  0.207  0.592  0.276
O  0.421  0.999  0.310
O  0.635  0.648  0.343
O  0.703  0.129  0.362
O  0.279  0.228  0.454
O  0.724  0.336  0.462
O  0.276  0.664  0.538
O  0.721  0.772  0.546
O  0.297  0.871  0.638
O  0.365  0.352  0.657
O  0.579  0.001  0.690
O  0.793  0.408  0.724
O  0.833  0.071  0.795
O  0.191  0.520  0.799
O  0.680  0.590  0.849
O  0.717  0.836  0.961
O  0.652  0.301  0.980
P  0.229  0.589  0.125
P  0.238  0.066  0.201
P  0.783  0.485  0.352
P  0.217  0.515  0.648
P  0.762  0.934  0.799
P  0.771  0.411  0.875
Zn  0.644  0.640  0.021
Zn  0.341  0.708  0.334
Zn  0.500  0.000  0.500
Zn  0.659  0.292  0.666
Zn  0.356  0.360  0.979

Space group: No. 2
E: -5.4682 eV per atom

---

The following is a PBE-GGA calculation of an optimized crystal structure of Zn4P3H7N2O12, from the Open Quantum Materials Database.

a = 5.181 Å, b = 7.881 Å, c = 15.546 Å
α = 94.43°, β = 92.28°, γ = 109.30°
Atoms (fractional coordinates):
H  0.969  0.660  0.181
H  0.643  0.633  0.188
H  0.888  0.816  0.242
H  0.825  0.603  0.276
H  0.495  0.146  0.332
H  0.387  0.983  0.398
H  0.540  0.195  0.438
H  0.460  0.805  0.562
H  0.613  0.017  0.602
H  0.505  0.854  0.668
H  0.175  0.397  0.724
H  0.112  0.184  0.758
H  0.357  0.367  0.812
H  0.031  0.340  0.819
N  0.832  0.679  0.224
N  0.541  0.101  0.389
N  0.459  0.899  0.611
N  0.168  0.321  0.776
O  0.495  0.197  0.017
O  0.051  0.699  0.058
O  0.433  0.570  0.087
O  0.026  0.213  0.130
O  0.488  0.882  0.146
O  0.483  0.268  0.214
O  0.162  0.426  0.267
O  0.031  0.081  0.270
O  0.812  0.532  0.396
O  0.002  0.872  0.419
O  0.495  0.713  0.430
O  0.158  0.301  0.454
O  0.842  0.699  0.546
O  0.505  0.287  0.570
O  0.998  0.128  0.581
O  0.188  0.468  0.604
O  0.969  0.919  0.730
O  0.838  0.574  0.733
O  0.517  0.732  0.786
O  0.512  0.118  0.854
O  0.974  0.787  0.870
O  0.567  0.430  0.913
O  0.949  0.301  0.942
O  0.505  0.803  0.983
P  0.362  0.741  0.069
P  0.180  0.249  0.224
P  0.785  0.701  0.446
P  0.215  0.299  0.554
P  0.820  0.751  0.776
P  0.638  0.259  0.931
Zn  0.223  0.330  0.033
Zn  0.623  0.135  0.130
Zn  0.902  0.075  0.387
Zn  0.179  0.510  0.388
Zn  0.821  0.490  0.612
Zn  0.098  0.925  0.613
Zn  0.377  0.865  0.870
Zn  0.777  0.670  0.967

Space group: No. 2
E: -5.8089 eV per atom

---

The following is a PBE-GGA calculation of an optimized crystal structure of ZnP3H12NO13, from the Open Quantum Materials Database.

a = 8.525 Å, b = 10.114 Å, c = 7.149 Å
α = 104.64°, β = 111.64°, γ = 71.20°
Atoms (fractional coordinates):
H  0.260  0.607  0.036
H  0.823  0.513  0.162
H  0.686  0.426  0.180
H  0.892  0.341  0.182
H  0.349  0.945  0.201
H  0.468  0.699  0.269
H  0.232  0.960  0.337
H  0.191  0.188  0.344
H  0.152  0.564  0.373
H  0.322  0.742  0.381
H  0.219  0.407  0.428
H  0.888  0.712  0.482
H  0.112  0.288  0.518
H  0.781  0.593  0.572
H  0.678  0.258  0.619
H  0.848  0.436  0.627
H  0.809  0.812  0.656
H  0.768  0.040  0.663
H  0.532  0.301  0.731
H  0.651  0.055  0.799
H  0.108  0.659  0.818
H  0.314  0.574  0.820
H  0.177  0.487  0.838
H  0.740  0.393  0.964
N  0.784  0.420  0.122
N  0.216  0.580  0.878
O  0.278  0.241  0.055
O  0.015  0.805  0.065
O  0.511  0.791  0.140
O  0.572  0.101  0.180
O  0.874  0.112  0.207
O  0.516  0.368  0.209
O  0.246  0.009  0.239
O  0.948  0.643  0.242
O  0.819  0.901  0.295
O  0.400  0.659  0.320
O  0.135  0.287  0.392
O  0.252  0.501  0.461
O  0.201  0.873  0.472
O  0.799  0.127  0.528
O  0.748  0.499  0.539
O  0.865  0.713  0.608
O  0.600  0.341  0.680
O  0.181  0.099  0.705
O  0.052  0.357  0.758
O  0.754  0.991  0.761
O  0.484  0.632  0.791
O  0.126  0.888  0.793
O  0.428  0.899  0.820
O  0.489  0.209  0.860
O  0.985  0.195  0.935
O  0.722  0.759  0.945
P  0.470  0.239  0.068
P  0.892  0.771  0.140
P  0.777  0.068  0.309
P  0.223  0.932  0.691
P  0.108  0.229  0.860
P  0.530  0.761  0.932
Zn  0.000  0.000  0.000
Zn  0.500  0.500  0.500

Space group: No. 2
E: -5.7413 eV per atom

---

Q: E of number 3 (ZnP3H12NO13)?
A: -5.7413 eV per atom

---

Q: Look up the E of the second one.
A: -5.8089 eV per atom

---

Please write out number 2 again, unchanged.
The following is a PBE-GGA calculation of an optimized crystal structure of Zn4P3H7N2O12, from the Open Quantum Materials Database.

a = 5.181 Å, b = 7.881 Å, c = 15.546 Å
α = 94.43°, β = 92.28°, γ = 109.30°
Atoms (fractional coordinates):
H  0.969  0.660  0.181
H  0.643  0.633  0.188
H  0.888  0.816  0.242
H  0.825  0.603  0.276
H  0.495  0.146  0.332
H  0.387  0.983  0.398
H  0.540  0.195  0.438
H  0.460  0.805  0.562
H  0.613  0.017  0.602
H  0.505  0.854  0.668
H  0.175  0.397  0.724
H  0.112  0.184  0.758
H  0.357  0.367  0.812
H  0.031  0.340  0.819
N  0.832  0.679  0.224
N  0.541  0.101  0.389
N  0.459  0.899  0.611
N  0.168  0.321  0.776
O  0.495  0.197  0.017
O  0.051  0.699  0.058
O  0.433  0.570  0.087
O  0.026  0.213  0.130
O  0.488  0.882  0.146
O  0.483  0.268  0.214
O  0.162  0.426  0.267
O  0.031  0.081  0.270
O  0.812  0.532  0.396
O  0.002  0.872  0.419
O  0.495  0.713  0.430
O  0.158  0.301  0.454
O  0.842  0.699  0.546
O  0.505  0.287  0.570
O  0.998  0.128  0.581
O  0.188  0.468  0.604
O  0.969  0.919  0.730
O  0.838  0.574  0.733
O  0.517  0.732  0.786
O  0.512  0.118  0.854
O  0.974  0.787  0.870
O  0.567  0.430  0.913
O  0.949  0.301  0.942
O  0.505  0.803  0.983
P  0.362  0.741  0.069
P  0.180  0.249  0.224
P  0.785  0.701  0.446
P  0.215  0.299  0.554
P  0.820  0.751  0.776
P  0.638  0.259  0.931
Zn  0.223  0.330  0.033
Zn  0.623  0.135  0.130
Zn  0.902  0.075  0.387
Zn  0.179  0.510  0.388
Zn  0.821  0.490  0.612
Zn  0.098  0.925  0.613
Zn  0.377  0.865  0.870
Zn  0.777  0.670  0.967

Space group: No. 2
E: -5.8089 eV per atom